(1)
Computed, not measured: a relaxed Tl2OsPb crystal at the PBE-GGA level of DFT.

Cell: 7.7536 7.7536 4.6105 Å, 107.17 107.17 23.66°
Closest atoms and distances in Å follow each position.
Sites, in units of the cell vectors:
Tl (0.1802, 0.1802, 0.1797)  2 Os 3.05, 2 Tl 3.18
Tl (0.8198, 0.8198, 0.8203)  2 Os 3.05, 2 Tl 3.18
Os (0.5000, 0.5000, 0.0000)  4 Pb 2.80, 4 Tl 3.05
Pb (0.0000, 0.0000, 0.5000)  4 Os 2.80

Output
Space-group type: No. 12
Polymorph energy (0 for the lowest one) (meV/atom): 45
Formation energy from the elements (eV per atom): 0.6041
Raw total energy (eV/atom): -4.314



(2)
Computed, not measured: a relaxed Tl2OsPb crystal at the PBE-GGA level of DFT.

Cell: 3.3005 3.3021 9.1794 Å, 90.00 90.03 90.00°
Closest atoms and distances in Å follow each position.
Sites, in units of the cell vectors:
Tl (0.0000, 0.0000, 0.0000)  6 Tl 3.30-3.43, 2 Pb 3.62
Tl (0.3931, 0.5000, 0.2961)  4 Os 2.92-2.96
Os (0.8843, 0.0000, 0.4906)  4 Pb 2.89-2.91, 4 Tl 2.92-2.96
Pb (0.3890, 0.5000, 0.6777)  4 Os 2.89-2.91

Output
Space-group type: No. 6
Polymorph energy (0 for the lowest one) (meV/atom): 0
Formation energy from the elements (eV per atom): 0.5595
Raw total energy (eV/atom): -4.358



(3)
Computed, not measured: a relaxed TlOs2Pb crystal at the PBE-GGA level of DFT.

Cell: 3.1650 4.5585 5.3407 Å, 90.00 90.00 90.00°
Closest atoms and distances in Å follow each position.
Sites, in units of the cell vectors:
Tl (0.0000, 0.0000, 0.0000)  4 Os 2.77, 4 Pb 3.10
Os (0.0000, 0.5000, 0.5000)  4 Pb 2.77, 4 Os 3.10
Os (0.5000, 0.5000, 0.0000)  4 Tl 2.77, 4 Os 3.10
Pb (0.5000, 0.0000, 0.5000)  4 Os 2.77, 4 Tl 3.10

Output
Space-group type: No. 47
Polymorph energy (0 for the lowest one) (meV/atom): 712
Formation energy from the elements (eV per atom): 1.2578
Raw total energy (eV/atom): -5.876



(4)
Computed, not measured: a relaxed Tl2OsPb crystal at the PBE-GGA level of DFT.

Cell: 5.3935 5.3935 5.3935 Å, 128.40 128.40 75.98°
Closest atoms and distances in Å follow each position.
Sites, in units of the cell vectors:
Tl (0.0000, 0.0000, 0.0000)  4 Tl 3.17, 4 Os 3.17, 4 Pb 3.32
Tl (0.7500, 0.2500, 0.5000)  4 Pb 3.17, 4 Tl 3.17, 4 Os 3.32
Os (0.2500, 0.7500, 0.5000)  4 Pb 3.17, 8 Tl 3.17-3.32
Pb (0.5000, 0.5000, 0.0000)  8 Tl 3.17-3.32, 4 Os 3.17

Output
Space-group type: No. 119
Polymorph energy (0 for the lowest one) (meV/atom): 373
Formation energy from the elements (eV per atom): 0.9330
Raw total energy (eV/atom): -3.985



(5)
Computed, not measured: a relaxed Tl2OsPb crystal at the PBE-GGA level of DFT.

Cell: 3.2124 3.2124 10.5251 Å, 90.00 90.00 116.45°
Closest atoms and distances in Å follow each position.
Sites, in units of the cell vectors:
Tl (0.0000, 0.0000, 0.2128)  2 Os 2.81
Tl (0.0000, 0.0000, 0.7872)  2 Os 2.81
Os (0.5000, 0.5000, 0.0000)  4 Tl 2.81
Pb (0.5000, 0.5000, 0.5000)  6 Pb 3.21-3.38, 4 Tl 3.46

Output
Space-group type: No. 65
Polymorph energy (0 for the lowest one) (meV/atom): 225
Formation energy from the elements (eV per atom): 0.7846
Raw total energy (eV/atom): -4.133



(6)
Computed, not measured: a relaxed Tl4OsPb crystal at the PBE-GGA level of DFT.

Cell: 6.1640 6.1640 6.1640 Å, 60.00 60.00 60.00°
Closest atoms and distances in Å follow each position.
Sites, in units of the cell vectors:
Tl (0.1243, 0.1243, 0.1243)  6 Tl 3.06-3.10
Tl (0.1243, 0.1243, 0.6272)  6 Tl 3.06-3.10
Tl (0.1243, 0.6272, 0.1243)  6 Tl 3.06-3.10
Tl (0.6272, 0.1243, 0.1243)  6 Tl 3.06-3.10
Os (0.7500, 0.7500, 0.7500)  12 Tl 3.61, 4 Pb 3.77
Pb (0.5000, 0.5000, 0.5000)  12 Tl 3.62, 4 Os 3.77

Output
Space-group type: No. 216
Formation energy from the elements (eV per atom): 1.0201
Raw total energy (eV/atom): -3.047



Copy entry 4 word for word.
Computed, not measured: a relaxed Tl2OsPb crystal at the PBE-GGA level of DFT.

Cell: 5.3935 5.3935 5.3935 Å, 128.40 128.40 75.98°
Closest atoms and distances in Å follow each position.
Sites, in units of the cell vectors:
Tl (0.0000, 0.0000, 0.0000)  4 Tl 3.17, 4 Os 3.17, 4 Pb 3.32
Tl (0.7500, 0.2500, 0.5000)  4 Pb 3.17, 4 Tl 3.17, 4 Os 3.32
Os (0.2500, 0.7500, 0.5000)  4 Pb 3.17, 8 Tl 3.17-3.32
Pb (0.5000, 0.5000, 0.0000)  8 Tl 3.17-3.32, 4 Os 3.17

Output
Space-group type: No. 119
Polymorph energy (0 for the lowest one) (meV/atom): 373
Formation energy from the elements (eV per atom): 0.9330
Raw total energy (eV/atom): -3.985



Repeat the fifth record exactly.
Computed, not measured: a relaxed Tl2OsPb crystal at the PBE-GGA level of DFT.

Cell: 3.2124 3.2124 10.5251 Å, 90.00 90.00 116.45°
Closest atoms and distances in Å follow each position.
Sites, in units of the cell vectors:
Tl (0.0000, 0.0000, 0.2128)  2 Os 2.81
Tl (0.0000, 0.0000, 0.7872)  2 Os 2.81
Os (0.5000, 0.5000, 0.0000)  4 Tl 2.81
Pb (0.5000, 0.5000, 0.5000)  6 Pb 3.21-3.38, 4 Tl 3.46

Output
Space-group type: No. 65
Polymorph energy (0 for the lowest one) (meV/atom): 225
Formation energy from the elements (eV per atom): 0.7846
Raw total energy (eV/atom): -4.133



Question: What is the formation energy from the elements in the first record?
Answer: 0.6041 eV per atom



Question: Which of these has the highest formation energy from the elements?
Answer: TlOs2Pb